A plane-wave DFT calculation with PBE-GGA was carried out for an optimized crystal structure of SmAg2SO8.

a b c (Å): 5.118 5.118 6.311
angles (deg): 90.00 90.00 120.00
Sites, in units of the cell vectors:
Sm 0.000 0.000 0.000
Ag 0.333 0.667 0.357
Ag 0.667 0.333 0.643
S 0.000 0.000 0.500
O 0.150 0.300 0.658
O 0.150 0.850 0.658
O 0.300 0.150 0.342
O 0.333 0.667 0.034
O 0.667 0.333 0.966
O 0.700 0.850 0.658
O 0.850 0.150 0.342
O 0.850 0.700 0.342

## Properties
Space group: P-3m1 (164)
Uncorrected formation energy (eV/f.u.): -7.1
Spin magnetization (Bohr magnetons per cell): 4.705
Density of states at the Fermi level (states/eV per atom): 0.89